Compound: Ce2Sm
Source: the Alexandria database
Functional: GGA-PBE
Structure: optimized geometry

Unit cell a=3.4309 b=3.4309 c=7.8375 alpha=102.64 beta=102.64 gamma=90.00
Positions (direct):
Ce 0.6738 0.6738 0.3476
Ce 0.3262 0.3262 0.6524
Sm 0.0000 0.0000 0.0000

- Total magnetization: 0.0 μB/cell
- ΔE to the lowest computed polymorph: 0.000 eV per atom
- Total DFT energy (no corrections): -16.34 eV per cell
- ΔH_f (0 K): 82 meV per atom